Entry 1:
BaC5: relaxed, GGA-PBE.

a b c (Å): 5.045 5.045 2.806
angles (deg): 90.00 90.00 120.00
Atoms (fractional coordinates):
Ba (0.000, 0.000, 0.000)
C (0.000, 0.500, 0.500)
C (0.333, 0.667, 0.000)
C (0.500, 0.000, 0.500)
C (0.500, 0.500, 0.500)
C (0.667, 0.333, 0.000)

The value obtained for the volume is 10.307 Å³/atom. The space group is P6/mmm (191). The calculation puts the energy above the lowest structure with this stoichiometry at 2129 meV/atom. Its formation energy is 2990 meV/atom.



Entry 2:
PrTmGe: relaxed, GGA-PBE.

a b c (Å): 4.308 4.308 11.450
angles (deg): 90.00 90.00 120.00
Atoms (fractional coordinates):
Pr (0.000, 0.000, 0.229)
Pr (0.000, 0.000, 0.771)
Tm (0.333, 0.667, 0.000)
Tm (0.667, 0.333, 0.500)
Ge (0.333, 0.667, 0.366)
Ge (0.333, 0.667, 0.634)

The value obtained for the volume is 30.671 Å³/atom. The space group is P-6m2 (187). Its formation energy is -369 meV/atom.



Entry 3:
LiTiH3: relaxed, GGA-PBE.

a b c (Å): 3.606 3.606 3.606
angles (deg): 90.00 90.00 90.00
Atoms (fractional coordinates):
Li (0.000, 0.000, 0.000)
Ti (0.500, 0.500, 0.500)
H (0.000, 0.500, 0.500)
H (0.500, 0.000, 0.500)
H (0.500, 0.500, 0.000)

The value obtained for the volume is 9.381 Å³/atom. The space group is Pm-3m (221). The calculation puts the energy above the lowest structure with this stoichiometry at 159 meV/atom.



Entry 4:
CaCoSb: relaxed, GGA-PBE.

a b c (Å): 4.292 4.292 4.305
angles (deg): 90.00 90.00 120.00
Atoms (fractional coordinates):
Ca (0.000, 0.000, 0.000)
Co (0.667, 0.333, 0.500)
Sb (0.333, 0.667, 0.500)

The value obtained for the volume is 22.896 Å³/atom. The space group is P-6m2 (187). As for the raw formation energy: -0.38 eV per atom.